one:
Na2LaCl: relaxed, PBE.

size of the total moment	1.992	μB per cell
N(E_F)	4.07	states/eV/f.u.
density	2.7	g cm⁻³

POSCAR file:
```
Na2LaCl
1.0
-4.7715 4.7715 2.9328
4.7715 -4.7715 2.9328
4.7715 4.7715 -2.9328
Na La Cl
4 2 2
Cartesian
7.1572 1.7289 -0.7332
1.7289 2.3857 0.7332
-2.3857 3.0426 2.1996
3.0426 2.3857 3.6659
4.7715 0.0000 1.4664
0.0000 0.0000 2.9328
0.0000 0.0000 0.0000
0.0000 4.7715 1.4664
```

***

two:
Na2LaCl: relaxed, PBE.

size of the total moment	0.000	μB per cell
N(E_F)	1.68	states/eV/f.u.
density	2.8	g cm⁻³

POSCAR file:
```
Na2LaCl
1.0
0.0000 4.0253 4.0253
4.0253 0.0000 4.0253
4.0253 4.0253 0.0000
Na La Cl
2 1 1
Cartesian
2.0127 2.0127 2.0127
6.0380 6.0380 6.0380
0.0000 0.0000 0.0000
4.0253 4.0253 4.0253
```

***

In terms of stability, one leads; the second structure lies 458 meV per atom higher.

***

one:
NaLa2Cl6: relaxed, PBE.

size of the total moment	2.542	μB per cell
N(E_F)	0.26	states/eV/f.u.
density	3.0	g cm⁻³

POSCAR file:
```
NaLa2Cl6
1.0
6.8110 0.0000 0.0000
0.0000 6.8110 0.0000
0.0000 0.0000 12.3173
Na La Cl
2 4 12
Cartesian
0.0000 0.0000 0.0000
3.4055 3.4055 6.1586
0.0000 0.0000 4.2676
0.0000 0.0000 8.0497
3.4055 3.4055 1.8910
3.4055 3.4055 10.4263
1.3826 1.3826 2.1126
1.3826 1.3826 10.2047
1.4745 1.4745 6.1586
1.9310 4.8800 0.0000
2.0229 4.7881 4.0460
2.0229 4.7881 8.2713
4.7881 2.0229 4.0460
4.7881 2.0229 8.2713
4.8800 1.9310 0.0000
5.3365 5.3365 6.1586
5.4284 5.4284 2.1126
5.4284 5.4284 10.2047
```

***

two:
NaLa2Cl6: relaxed, PBE.

size of the total moment	0.941	μB per cell
N(E_F)	1.54	states/eV/f.u.
density	3.3	g cm⁻³

POSCAR file:
```
NaLa2Cl6
1.0
0.0000 6.7505 7.6272
2.5290 0.0000 7.6272
2.5290 6.7505 0.0000
Na La Cl
1 2 6
Cartesian
0.0000 0.0000 0.0000
2.5290 6.7505 5.1518
2.5290 6.7505 10.1025
2.5290 5.1587 2.6237
2.5290 8.3424 2.6237
2.5290 5.1416 7.6272
2.5290 8.3595 7.6272
2.5290 5.1587 12.6307
2.5290 8.3424 12.6307
```

***

In terms of stability, one leads; the second structure lies 83 meV per atom higher.

***

one:
NaLa2Cl: relaxed, PBE.

size of the total moment	0.000	μB per cell
N(E_F)	4.77	states/eV/f.u.
density	4.6	g cm⁻³

POSCAR file:
```
NaLa2Cl
1.0
0.0000 3.9304 3.9304
3.9304 0.0000 3.9304
3.9304 3.9304 0.0000
Na La Cl
1 2 1
Cartesian
0.0000 0.0000 0.0000
1.9652 1.9652 1.9652
5.8956 5.8956 5.8956
3.9304 3.9304 3.9304
```

***

two:
NaLa2Cl: relaxed, PBE.

size of the total moment	0.740	μB per cell
N(E_F)	5.25	states/eV/f.u.
density	4.2	g cm⁻³

POSCAR file:
```
NaLa2Cl
1.0
1.8039 1.0415 11.8998
-1.8039 1.0415 11.8998
0.0000 -2.0830 11.8998
Na La Cl
1 2 1
Cartesian
0.0000 0.0000 0.0000
0.0000 0.0000 3.6620
0.0000 0.0000 32.0374
0.0000 0.0000 17.8497
```

***

In terms of stability, two leads; the second structure lies 324 meV per atom higher.